#P
# PPtSCl2

An optimized crystal structure of PPtSCl2 (PBE, Alexandria).

Cell lengths 4.4571, 4.4571, 5.0581 Å; angles 90.00, 90.00, 90.00 degrees
Positions (direct):
P (0.0000, 0.0000, 0.0000)
Pt (0.5000, 0.5000, 0.5000)
S (0.0000, 0.0000, 0.5000)
Cl (0.0000, 0.5000, 0.0000)
Cl (0.5000, 0.0000, 0.0000)

**Magnetization**: 0.4 μB per formula unit
**Volume**: 20.1 A^3/atom

#Q
# PPtSCl2

An optimized crystal structure of PPtSCl2 (PBE, Alexandria).

Cell lengths 4.3878, 4.3878, 5.2970 Å; angles 90.00, 90.00, 90.00 degrees
Positions (direct):
P (0.0000, 0.0000, 0.0000)
Pt (0.5000, 0.5000, 0.0000)
S (0.0000, 0.0000, 0.5000)
Cl (0.0000, 0.5000, 0.5000)
Cl (0.5000, 0.0000, 0.5000)

**Magnetization**: 0.5 μB per formula unit
**Volume**: 20.4 A^3/atom

#R
# PPtSCl2

An optimized crystal structure of PPtSCl2 (PBE, Alexandria).

Cell lengths 4.8737, 4.8737, 4.6809 Å; angles 90.00, 90.00, 90.00 degrees
Positions (direct):
P (0.0000, 0.0000, 0.0000)
Pt (0.0000, 0.0000, 0.5000)
S (0.5000, 0.5000, 0.0000)
Cl (0.0000, 0.5000, 0.5000)
Cl (0.5000, 0.0000, 0.5000)

**Magnetization**: 1.1 μB per formula unit
**Volume**: 22.2 A^3/atom

The most stable of them is #R.

#P
# P2PtSCl

An optimized crystal structure of P2PtSCl (PBE, Alexandria).

Cell lengths 4.6971, 4.6971, 4.8658 Å; angles 90.00, 90.00, 90.00 degrees
Positions (direct):
P (0.0000, 0.5000, 0.0000)
P (0.5000, 0.0000, 0.0000)
Pt (0.0000, 0.0000, 0.0000)
S (0.0000, 0.0000, 0.5000)
Cl (0.5000, 0.5000, 0.5000)

**Magnetization**: 0.5 μB per formula unit
**Volume**: 21.5 A^3/atom

#Q
# P2PtSCl

An optimized crystal structure of P2PtSCl (PBE, Alexandria).

Cell lengths 4.6879, 4.6879, 4.7918 Å; angles 90.00, 90.00, 90.00 degrees
Positions (direct):
P (0.0000, 0.5000, 0.0000)
P (0.5000, 0.0000, 0.0000)
Pt (0.0000, 0.0000, 0.0000)
S (0.5000, 0.5000, 0.5000)
Cl (0.0000, 0.0000, 0.5000)

**Magnetization**: 0.0 μB per formula unit
**Volume**: 21.1 A^3/atom

The most stable of them is #Q.